First-principles (PBE-GGA) data for crystalline Ca4Hg3Au at its relaxed geometry, as listed in Alexandria.

The structure in POSCAR format:
```
Ca4Hg3Au
1.0
3.736 0.000 0.000
0.000 3.736 0.000
0.000 0.000 15.060
Ca Au Hg
4 1 3
Direct
0.000 0.000 0.883 Ca
0.000 0.000 0.117 Ca
0.000 0.000 0.373 Ca
0.000 0.000 0.627 Ca
0.500 0.500 0.000 Au
0.500 0.500 0.245 Hg
0.500 0.500 0.500 Hg
0.500 0.500 0.755 Hg
```

Output
- Magnetic moment: 0.0 Bohr magnetons per cell
- Electronic total energy: -17.02 eV for the cell shown